# 1
Here is an optimized crystal structure of Ac2In4Au5 from the Alexandria database. Energies are from PBE-GGA.

Lattice parameters (Å, degrees): 7.2395 7.2395 8.2546 123.06 123.06 55.41
With the nearest neighbours (Å) after each atom.
Fractional positions:
Ac (0.0119, 0.0119, 0.2609)  6 Au 3.47-3.65, 6 In 3.56-3.80
Ac (0.9881, 0.9881, 0.7391)  6 Au 3.47-3.65, 6 In 3.56-3.80
In (0.3383, 0.3383, 0.1263)  5 Au 2.78-3.00, 1 In 2.98
In (0.3672, 0.3672, 0.5617)  5 Au 2.76-3.05, 1 In 2.98
In (0.6328, 0.6328, 0.4383)  5 Au 2.76-3.05, 1 In 2.98
In (0.6617, 0.6617, 0.8737)  5 Au 2.78-3.00, 1 In 2.98
Au (0.0359, 0.4578, 0.7392)  4 In 2.76-3.05, 2 Au 2.84-2.93
Au (0.4578, 0.0359, 0.7392)  4 In 2.76-3.05, 2 Au 2.84-2.93
Au (0.5000, 0.5000, 0.0000)  4 In 2.84-2.90, 4 Au 2.93
Au (0.5422, 0.9641, 0.2608)  4 In 2.76-3.05, 2 Au 2.84-2.93
Au (0.9641, 0.5422, 0.2608)  4 In 2.76-3.05, 2 Au 2.84-2.93

D(E_F)   0.525 states/eV per atom
SG   C2/m
Energy of formation   -0.416 eV/atom
Magnetic moment   0.0 μB per formula unit

# 2
Here is an optimized crystal structure of RbCuH2 from the Alexandria database. Energies are from PBE-GGA.

Lattice parameters (Å, degrees): 5.7641 3.5473 13.1271 90.00 90.00 90.00
With the nearest neighbours (Å) after each atom.
Fractional positions:
Rb (0.0665, 0.2500, 0.1558)  7 H 2.89-3.18
Rb (0.4335, 0.7500, 0.6558)  7 H 2.89-3.18
Rb (0.5665, 0.2500, 0.3442)  7 H 2.89-3.18
Rb (0.9335, 0.7500, 0.8442)  7 H 2.89-3.18
Cu (0.0620, 0.7500, 0.4375)  2 H 1.59-1.65
Cu (0.4380, 0.2500, 0.9375)  2 H 1.59-1.65
Cu (0.5620, 0.7500, 0.0625)  2 H 1.59-1.65
Cu (0.9380, 0.2500, 0.5625)  2 H 1.59-1.65
H (0.1616, 0.7500, 0.3247)  1 Cu 1.59
H (0.1725, 0.2500, 0.4908)  1 Cu 1.65
H (0.3275, 0.7500, 0.9908)  1 Cu 1.65
H (0.3384, 0.2500, 0.8247)  1 Cu 1.59
H (0.6616, 0.7500, 0.1753)  1 Cu 1.59
H (0.6725, 0.2500, 0.0092)  1 Cu 1.65
H (0.8275, 0.7500, 0.5092)  1 Cu 1.65
H (0.8384, 0.2500, 0.6753)  1 Cu 1.59

Energy above the lowest structure with this stoichiometry   0.018 eV per atom
D(E_F)   0.000 states/eV per atom
SG   Pnma
Magnetic moment   0.0 μB per formula unit

# 3
Here is an optimized crystal structure of PuGaPd3 from the Alexandria database. Energies are from PBE-GGA.

Lattice parameters (Å, degrees): 6.3043 6.3043 5.5512 90.00 90.00 120.00
With the nearest neighbours (Å) after each atom.
Fractional positions:
Pu (0.3333, 0.6667, 0.2500)  12 Pd 3.16-3.18
Pu (0.6667, 0.3333, 0.7500)  12 Pd 3.16-3.18
Ga (0.0000, 0.0000, 0.0000)  6 Pd 2.50, 2 Ga 2.78
Ga (0.0000, 0.0000, 0.5000)  6 Pd 2.50, 2 Ga 2.78
Pd (0.1906, 0.3811, 0.7500)  2 Ga 2.50, 2 Pd 2.70
Pd (0.1906, 0.8094, 0.7500)  2 Ga 2.50, 2 Pd 2.70
Pd (0.3811, 0.1906, 0.2500)  2 Ga 2.50, 2 Pd 2.70
Pd (0.6189, 0.8094, 0.7500)  2 Ga 2.50, 2 Pd 2.70
Pd (0.8094, 0.1906, 0.2500)  2 Ga 2.50, 2 Pd 2.70
Pd (0.8094, 0.6189, 0.2500)  2 Ga 2.50, 2 Pd 2.70

D(E_F)   3.798 states/eV per atom
SG   P6_3/mmc
Energy of formation   -0.457 eV/atom
Magnetic moment   5.2 μB per formula unit

# 4
Here is an optimized crystal structure of PrEu2I from the Alexandria database. Energies are from PBE-GGA.

Lattice parameters (Å, degrees): 11.4789 11.4789 11.4789 19.92 19.92 19.92
With the nearest neighbours (Å) after each atom.
Fractional positions:
Pr (0.0000, 0.0000, 0.0000)  6 Eu 3.85, 6 Pr 3.97
Eu (0.2415, 0.2415, 0.2415)  3 I 3.41
Eu (0.7585, 0.7585, 0.7585)  3 I 3.41
I (0.5000, 0.5000, 0.5000)  6 Eu 3.41

Energy above the lowest structure with this stoichiometry   0.000 eV per atom
D(E_F)   4.420 states/eV per atom
Uncorrected formation energy   -0.52 eV per atom
SG   R-3m
Magnetic moment   15.0 μB per formula unit

# 5
Here is an optimized crystal structure of Ac2AlSiAu6 from the Alexandria database. Energies are from PBE-GGA.

Lattice parameters (Å, degrees): 6.0480 6.8757 7.0498 72.59 64.84 64.02
With the nearest neighbours (Å) after each atom.
Fractional positions:
Ac (0.2474, 0.2106, 0.2956)  9 Au 3.28-3.64
Ac (0.7526, 0.7894, 0.7044)  9 Au 3.28-3.64
Al (0.5000, 0.5000, 0.5000)  6 Au 2.57-2.60
Si (0.0000, 0.0000, 0.0000)  6 Au 2.53
Au (0.2464, 0.2497, 0.7562)  1 Si 2.53, 1 Al 2.58
Au (0.2493, 0.6311, 0.8694)  1 Si 2.53, 1 Al 2.60
Au (0.2504, 0.7490, 0.2456)  1 Si 2.53, 1 Al 2.57
Au (0.7496, 0.2510, 0.7544)  1 Si 2.53, 1 Al 2.57
Au (0.7507, 0.3689, 0.1306)  1 Si 2.53, 1 Al 2.60
Au (0.7536, 0.7503, 0.2438)  1 Si 2.53, 1 Al 2.58

D(E_F)   0.429 states/eV per atom
Uncorrected formation energy   -0.57 eV per atom
SG   P-1
Magnetic moment   0.0 μB per formula unit

# 6
Here is an optimized crystal structure of Ac2Cd4Hg5 from the Alexandria database. Energies are from PBE-GGA.

Lattice parameters (Å, degrees): 7.6104 7.6104 9.7279 129.68 129.68 48.31
With the nearest neighbours (Å) after each atom.
Fractional positions:
Ac (0.0003, 0.0003, 0.2210)  6 Cd 3.39-3.51, 6 Hg 3.60-3.78
Ac (0.9997, 0.9997, 0.7790)  6 Cd 3.39-3.51, 6 Hg 3.60-3.78
Cd (0.3398, 0.3398, 0.0875)  3 Hg 2.89-2.95, 1 Cd 3.17
Cd (0.3403, 0.3403, 0.5925)  3 Hg 2.89-2.95, 1 Cd 3.17
Cd (0.6597, 0.6597, 0.4075)  3 Hg 2.89-2.95, 1 Cd 3.17
Cd (0.6602, 0.6602, 0.9125)  3 Hg 2.89-2.95, 1 Cd 3.17
Hg (0.0573, 0.5748, 0.3161)  4 Cd 2.95-3.24, 2 Hg 3.01-3.22
Hg (0.4252, 0.9427, 0.6839)  4 Cd 2.95-3.24, 2 Hg 3.01-3.22
Hg (0.5000, 0.5000, 0.0000)  4 Cd 2.89
Hg (0.5748, 0.0573, 0.3161)  4 Cd 2.95-3.24, 2 Hg 3.01-3.22
Hg (0.9427, 0.4252, 0.6839)  4 Cd 2.95-3.24, 2 Hg 3.01-3.22

D(E_F)   0.476 states/eV per atom
SG   C2/m
Energy of formation   -0.192 eV/atom
Magnetic moment   0.0 μB per formula unit

# 7
Here is an optimized crystal structure of Pu3Ge5Se12 from the Alexandria database. Energies are from PBE-GGA.

Lattice parameters (Å, degrees): 14.0011 14.0011 14.0011 109.47 109.47 109.47
With the nearest neighbours (Å) after each atom.
Fractional positions:
Pu (0.1250, 0.2500, 0.3750)  8 Se 3.04-3.09
Pu (0.1250, 0.3750, 0.7500)  8 Se 3.04-3.09
Pu (0.2500, 0.3750, 0.1250)  8 Se 3.04-3.09
Pu (0.2500, 0.8750, 0.6250)  8 Se 3.04-3.09
Pu (0.3750, 0.1250, 0.2500)  8 Se 3.04-3.09
Pu (0.3750, 0.7500, 0.1250)  8 Se 3.04-3.09
Pu (0.6250, 0.2500, 0.8750)  8 Se 3.04-3.09
Pu (0.6250, 0.8750, 0.7500)  8 Se 3.04-3.09
Pu (0.7500, 0.1250, 0.3750)  8 Se 3.04-3.09
Pu (0.7500, 0.6250, 0.8750)  8 Se 3.04-3.09
Pu (0.8750, 0.6250, 0.2500)  8 Se 3.04-3.09
Pu (0.8750, 0.7500, 0.6250)  8 Se 3.04-3.09
Ge (0.0000, 0.0000, 0.0000)  6 Se 2.72
Ge (0.0000, 0.0000, 0.5000)  6 Se 2.72
Ge (0.0000, 0.5000, 0.0000)  6 Se 2.72
Ge (0.0000, 0.5000, 0.5000)  6 Se 2.72
Ge (0.1250, 0.7500, 0.8750)  4 Se 2.47
Ge (0.1250, 0.8750, 0.2500)  4 Se 2.47
Ge (0.2500, 0.1250, 0.8750)  4 Se 2.47
Ge (0.2500, 0.6250, 0.3750)  4 Se 2.47
Ge (0.3750, 0.2500, 0.6250)  4 Se 2.47
Ge (0.3750, 0.6250, 0.7500)  4 Se 2.47
Ge (0.5000, 0.0000, 0.0000)  6 Se 2.72
Ge (0.5000, 0.0000, 0.5000)  6 Se 2.72
Ge (0.5000, 0.5000, 0.0000)  6 Se 2.72
Ge (0.5000, 0.5000, 0.5000)  6 Se 2.72
Ge (0.6250, 0.3750, 0.2500)  4 Se 2.47
Ge (0.6250, 0.7500, 0.3750)  4 Se 2.47
Ge (0.7500, 0.3750, 0.6250)  4 Se 2.47
Ge (0.7500, 0.8750, 0.1250)  4 Se 2.47
Ge (0.8750, 0.1250, 0.7500)  4 Se 2.47
Ge (0.8750, 0.2500, 0.1250)  4 Se 2.47
Se (0.0384, 0.2166, 0.1298)  2 Ge 2.47-2.72
Se (0.0384, 0.3217, 0.9086)  2 Ge 2.47-2.72
Se (0.0868, 0.7166, 0.6783)  2 Ge 2.47-2.72
Se (0.0868, 0.8702, 0.4086)  2 Ge 2.47-2.72
Se (0.0914, 0.6298, 0.4132)  2 Ge 2.47-2.72
Se (0.0914, 0.9616, 0.6783)  2 Ge 2.47-2.72
Se (0.1298, 0.0384, 0.2166)  2 Ge 2.47-2.72
Se (0.1298, 0.5914, 0.9132)  2 Ge 2.47-2.72
Se (0.1783, 0.2166, 0.5868)  2 Ge 2.47-2.72
Se (0.1783, 0.4616, 0.5914)  2 Ge 2.47-2.72
Se (0.2166, 0.1298, 0.0384)  2 Ge 2.47-2.72
Se (0.2166, 0.5868, 0.1783)  2 Ge 2.47-2.72
Se (0.2834, 0.3217, 0.9132)  2 Ge 2.47-2.72
Se (0.2834, 0.4616, 0.3702)  2 Ge 2.47-2.72
Se (0.3217, 0.9086, 0.0384)  2 Ge 2.47-2.72
Se (0.3217, 0.9132, 0.2834)  2 Ge 2.47-2.72
Se (0.3702, 0.2834, 0.4616)  2 Ge 2.47-2.72
Se (0.3702, 0.5868, 0.9086)  2 Ge 2.47-2.72
Se (0.4086, 0.0868, 0.8702)  2 Ge 2.47-2.72
Se (0.4086, 0.8217, 0.5384)  2 Ge 2.47-2.72
Se (0.4132, 0.0914, 0.6298)  2 Ge 2.47-2.72
Se (0.4132, 0.8217, 0.7834)  2 Ge 2.47-2.72
Se (0.4616, 0.3702, 0.2834)  2 Ge 2.47-2.72
Se (0.4616, 0.5914, 0.1783)  2 Ge 2.47-2.72
Se (0.5384, 0.4086, 0.8217)  2 Ge 2.47-2.72
Se (0.5384, 0.6298, 0.7166)  2 Ge 2.47-2.72
Se (0.5868, 0.1783, 0.2166)  2 Ge 2.47-2.72
Se (0.5868, 0.9086, 0.3702)  2 Ge 2.47-2.72
Se (0.5914, 0.1783, 0.4616)  2 Ge 2.47-2.72
Se (0.5914, 0.9132, 0.1298)  2 Ge 2.47-2.72
Se (0.6298, 0.4132, 0.0914)  2 Ge 2.47-2.72
Se (0.6298, 0.7166, 0.5384)  2 Ge 2.47-2.72
Se (0.6783, 0.0868, 0.7166)  2 Ge 2.47-2.72
Se (0.6783, 0.0914, 0.9616)  2 Ge 2.47-2.72
Se (0.7166, 0.5384, 0.6298)  2 Ge 2.47-2.72
Se (0.7166, 0.6783, 0.0868)  2 Ge 2.47-2.72
Se (0.7834, 0.4132, 0.8217)  2 Ge 2.47-2.72
Se (0.7834, 0.8702, 0.9616)  2 Ge 2.47-2.72
Se (0.8217, 0.5384, 0.4086)  2 Ge 2.47-2.72
Se (0.8217, 0.7834, 0.4132)  2 Ge 2.47-2.72
Se (0.8702, 0.4086, 0.0868)  2 Ge 2.47-2.72
Se (0.8702, 0.9616, 0.7834)  2 Ge 2.47-2.72
Se (0.9086, 0.0384, 0.3217)  2 Ge 2.47-2.72
Se (0.9086, 0.3702, 0.5868)  2 Ge 2.47-2.72
Se (0.9132, 0.1298, 0.5914)  2 Ge 2.47-2.72
Se (0.9132, 0.2834, 0.3217)  2 Ge 2.47-2.72
Se (0.9616, 0.6783, 0.0914)  2 Ge 2.47-2.72
Se (0.9616, 0.7834, 0.8702)  2 Ge 2.47-2.72

D(E_F)   1.429 states/eV per atom
Uncorrected formation energy   -0.65 eV per atom
SG   Ia-3d
Magnetic moment   15.1 μB per formula unit

# 8
Here is an optimized crystal structure of BaZrOs2 from the Alexandria database. Energies are from PBE-GGA.

Lattice parameters (Å, degrees): 4.9788 4.9788 3.4167 90.00 90.00 90.00
With the nearest neighbours (Å) after each atom.
Fractional positions:
Ba (0.0000, 0.0000, 0.0000)  8 Os 3.02
Zr (0.5000, 0.5000, 0.0000)  8 Os 3.02
Os (0.0000, 0.5000, 0.5000)  4 Zr 3.02, 4 Ba 3.02
Os (0.5000, 0.0000, 0.5000)  4 Zr 3.02, 4 Ba 3.02

Energy above the lowest structure with this stoichiometry   0.722 eV per atom
D(E_F)   1.446 states/eV per atom
SG   P4/mmm
Energy of formation   0.919 eV/atom
Magnetic moment   0.0 μB per formula unit

# 9
Here is an optimized crystal structure of Ca2ReP from the Alexandria database. Energies are from PBE-GGA.

Lattice parameters (Å, degrees): 5.9065 5.9065 5.9065 146.01 129.76 62.06
With the nearest neighbours (Å) after each atom.
Fractional positions:
Ca (0.0000, 0.0000, 0.0000)  2 P 2.98, 2 Ca 3.19, 4 Re 3.24
Ca (0.6954, 0.1954, 0.5000)  4 P 3.08, 2 Re 3.19, 2 Ca 3.19
Re (0.3895, 0.3895, 0.0000)  2 P 2.30
P (0.2396, 0.7396, 0.5000)  2 Re 2.30

D(E_F)   0.486 states/eV per atom
SG   Imm2
Energy of formation   -0.105 eV/atom
Magnetic moment   0.0 μB per formula unit

# 10
Here is an optimized crystal structure of LiPuZrOs from the Alexandria database. Energies are from PBE-GGA.

Lattice parameters (Å, degrees): 4.7575 4.7575 4.7575 60.00 60.00 60.00
With the nearest neighbours (Å) after each atom.
Fractional positions:
Li (0.0000, 0.0000, 0.0000)  4 Zr 2.91, 4 Pu 2.91
Pu (0.7500, 0.7500, 0.7500)  4 Os 2.91, 4 Li 2.91
Zr (0.2500, 0.2500, 0.2500)  4 Os 2.91, 4 Li 2.91
Os (0.5000, 0.5000, 0.5000)  4 Pu 2.91, 4 Zr 2.91

D(E_F)   1.833 states/eV per atom
SG   F-43m
Energy of formation   -0.064 eV/atom
Magnetic moment   5.9 μB per formula unit

# 11
Here is an optimized crystal structure of RbRh2WC from the Alexandria database. Energies are from PBE-GGA.

Lattice parameters (Å, degrees): 4.7193 4.7193 5.1917 90.00 90.00 90.00
With the nearest neighbours (Å) after each atom.
Fractional positions:
Rb (0.0000, 0.0000, 0.0000)  4 Rh 2.36, 2 W 2.60
Rh (0.0000, 0.5000, 0.0000)  2 Rb 2.36
Rh (0.5000, 0.0000, 0.0000)  2 Rb 2.36
W (0.0000, 0.0000, 0.5000)  2 Rb 2.60
C (0.5000, 0.5000, 0.5000)  4 W 3.34, 8 Rh 3.51

D(E_F)   1.444 states/eV per atom
SG   P4/mmm
Energy of formation   4.241 eV/atom
Magnetic moment   2.6 μB per formula unit

# 12
Here is an optimized crystal structure of AcTb4Y15 from the Alexandria database. Energies are from PBE-GGA.

Lattice parameters (Å, degrees): 5.0777 5.0777 25.3858 90.00 90.00 90.00
With the nearest neighbours (Å) after each atom.
Fractional positions:
Ac (0.0000, 0.0000, 0.0000)  12 Y 3.59-3.68
Tb (0.0000, 0.0000, 0.2030)  12 Y 3.55-3.59
Tb (0.0000, 0.0000, 0.4012)  12 Y 3.57-3.59
Tb (0.0000, 0.0000, 0.5988)  12 Y 3.57-3.59
Tb (0.0000, 0.0000, 0.7970)  12 Y 3.55-3.59
Y (0.0000, 0.5000, 0.1051)  2 Tb 3.55, 8 Y 3.57-3.68, 2 Ac 3.68
Y (0.0000, 0.5000, 0.3024)  8 Y 3.56-3.59, 4 Tb 3.57-3.58
Y (0.0000, 0.5000, 0.5000)  4 Tb 3.57, 8 Y 3.57-3.59
Y (0.0000, 0.5000, 0.6976)  8 Y 3.56-3.59, 4 Tb 3.57-3.58
Y (0.0000, 0.5000, 0.8949)  2 Tb 3.55, 8 Y 3.57-3.68, 2 Ac 3.68
Y (0.5000, 0.0000, 0.1051)  2 Tb 3.55, 8 Y 3.57-3.68, 2 Ac 3.68
Y (0.5000, 0.0000, 0.3024)  8 Y 3.56-3.59, 4 Tb 3.57-3.58
Y (0.5000, 0.0000, 0.5000)  4 Tb 3.57, 8 Y 3.57-3.59
Y (0.5000, 0.0000, 0.6976)  8 Y 3.56-3.59, 4 Tb 3.57-3.58
Y (0.5000, 0.0000, 0.8949)  2 Tb 3.55, 8 Y 3.57-3.68, 2 Ac 3.68
Y (0.5000, 0.5000, 0.0000)  4 Ac 3.59, 8 Y 3.68
Y (0.5000, 0.5000, 0.2039)  8 Y 3.56-3.57, 4 Tb 3.59
Y (0.5000, 0.5000, 0.4012)  8 Y 3.57, 4 Tb 3.59
Y (0.5000, 0.5000, 0.5988)  8 Y 3.57, 4 Tb 3.59
Y (0.5000, 0.5000, 0.7961)  8 Y 3.56-3.57, 4 Tb 3.59

D(E_F)   1.483 states/eV per atom
SG   P4/mmm
Energy of formation   0.030 eV/atom
Magnetic moment   0.0 μB per formula unit